No. 1
{
  "formula": "Tb2GeBi",
  "functional": "PBE",
  "state": "relaxed",
  "final_energy_ev_per_fu": -20.37,
  "n_ef_per_ev_fu": 2.6,
  "space_group": "Pnma, No. 62",
  "ef_kcal_per_mol_atoms": -15.06,
  "e_above_lowest_polymorph_mev_per_atom": 144.2,
  "lattice_angstrom": [[7.592, 0.000, 0.000], [0.000, 7.701, 0.000], [0.000, 0.000, 7.961]],
  "species": ["Tb", "Tb", "Tb", "Tb", "Tb", "Tb", "Tb", "Tb", "Ge", "Ge", "Ge", "Ge", "Bi", "Bi", "Bi", "Bi"],
  "frac_coords": [[0.210, 0.010, 0.141], [0.210, 0.490, 0.141], [0.290, 0.510, 0.641], [0.290, 0.990, 0.641], [0.710, 0.010, 0.359], [0.710, 0.490, 0.359], [0.790, 0.510, 0.859], [0.790, 0.990, 0.859], [0.099, 0.750, 0.877], [0.401, 0.250, 0.377], [0.599, 0.750, 0.623], [0.901, 0.250, 0.123], [0.039, 0.750, 0.412], [0.461, 0.250, 0.912], [0.539, 0.750, 0.088], [0.961, 0.250, 0.588]]
}

=====

No. 2
{
  "formula": "Ac4CuPb8",
  "functional": "PBE",
  "state": "relaxed",
  "final_energy_ev_per_fu": -55.33,
  "n_ef_per_ev_fu": 7.0,
  "space_group": "Pmm2, No. 25",
  "ef_kcal_per_mol_atoms": -9.11,
  "lattice_angstrom": [[4.737, 0.000, 0.000], [0.000, 4.881, 0.000], [0.000, 0.000, 18.554]],
  "species": ["Ac", "Ac", "Ac", "Ac", "Cu", "Pb", "Pb", "Pb", "Pb", "Pb", "Pb", "Pb", "Pb"],
  "frac_coords": [[0.000, 0.000, 0.000], [0.000, 0.500, 0.493], [0.500, 0.000, 0.792], [0.500, 0.500, 0.293], [0.000, 0.500, 0.711], [0.000, 0.000, 0.333], [0.000, 0.000, 0.635], [0.000, 0.500, 0.142], [0.000, 0.500, 0.855], [0.500, 0.000, 0.151], [0.500, 0.000, 0.449], [0.500, 0.500, 0.635], [0.500, 0.500, 0.967]]
}

=====

No. 3
{
  "formula": "Te2PdPbN",
  "functional": "PBE",
  "state": "relaxed",
  "e_form_raw_mev_per_atom": 1310,
  "final_energy_ev_per_fu": -16.96,
  "n_ef_per_ev_fu": 5.4,
  "space_group": "P4/mmm, No. 123",
  "e_above_lowest_polymorph_mev_per_atom": 875.2,
  "lattice_angstrom": [[5.894, 0.000, 0.000], [0.000, 5.894, 0.000], [0.000, 0.000, 4.146]],
  "species": ["Te", "Te", "Pd", "Pb", "N"],
  "frac_coords": [[0.000, 0.500, 0.000], [0.500, 0.000, 0.000], [0.000, 0.000, 0.500], [0.500, 0.500, 0.000], [0.500, 0.500, 0.500]]
}

=====

No. 4
{
  "formula": "Li5BiSb2",
  "functional": "PBE",
  "state": "relaxed",
  "e_form_raw_mev_per_atom": -354,
  "final_energy_ev_per_fu": -24.53,
  "n_ef_per_ev_fu": 2.3,
  "space_group": "Immm, No. 71",
  "lattice_angstrom": [[-2.259, 4.265, 4.985], [2.259, -4.265, 4.985], [2.259, 4.265, -4.985]],
  "species": ["Li", "Li", "Li", "Li", "Li", "Bi", "Sb", "Sb"],
  "frac_coords": [[0.000, 0.000, 0.000], [0.007, 0.687, 0.320], [0.367, 0.687, 0.680], [0.633, 0.313, 0.320], [0.993, 0.313, 0.680], [0.500, 0.000, 0.500], [0.266, 0.266, 0.000], [0.734, 0.734, 0.000]]
}

=====

No. 5
{
  "formula": "Ga3PbF",
  "functional": "PBE",
  "state": "relaxed",
  "e_form_raw_mev_per_atom": 240,
  "final_energy_ev_per_fu": -13.46,
  "n_ef_per_ev_fu": 3.3,
  "space_group": "Pm-3m, No. 221",
  "e_above_lowest_polymorph_mev_per_atom": 646.1,
  "lattice_angstrom": [[5.770, 0.000, 0.000], [0.000, 5.770, 0.000], [0.000, 0.000, 5.770]],
  "species": ["Ga", "Ga", "Ga", "Pb", "F"],
  "frac_coords": [[0.000, 0.000, 0.500], [0.000, 0.500, 0.000], [0.500, 0.000, 0.000], [0.000, 0.000, 0.000], [0.500, 0.500, 0.500]]
}

=====

No. 6
{
  "formula": "PmEr2Cd",
  "functional": "PBE",
  "state": "relaxed",
  "final_energy_ev_per_fu": -15.11,
  "n_ef_per_ev_fu": 4.1,
  "space_group": "R-3m, No. 166",
  "ef_kcal_per_mol_atoms": -1.81,
  "e_above_lowest_polymorph_mev_per_atom": 71.2,
  "lattice_angstrom": [[1.787, 1.032, 10.761], [-1.787, 1.032, 10.761], [0.000, -2.063, 10.761]],
  "species": ["Pm", "Er", "Er", "Cd"],
  "frac_coords": [[0.000, 0.000, 0.000], [0.243, 0.243, 0.243], [0.757, 0.757, 0.757], [0.500, 0.500, 0.500]]
}

=====

No. 7
{
  "formula": "Ce2IrRh",
  "functional": "PBE",
  "state": "relaxed",
  "final_energy_ev_per_fu": -28.83,
  "n_ef_per_ev_fu": 6.1,
  "space_group": "R-3m, No. 166",
  "ef_kcal_per_mol_atoms": -4.32,
  "lattice_angstrom": [[1.905, 1.100, 8.346], [-1.905, 1.100, 8.346], [0.000, -2.200, 8.346]],
  "species": ["Ce", "Ce", "Ir", "Rh"],
  "frac_coords": [[0.098, 0.098, 0.098], [0.902, 0.902, 0.902], [0.500, 0.500, 0.500], [0.000, 0.000, 0.000]]
}

=====

No. 8
{
  "formula": "P2IBr8",
  "functional": "PBE",
  "state": "relaxed",
  "e_form_raw_mev_per_atom": -63,
  "final_energy_ev_per_fu": -26.45,
  "n_ef_per_ev_fu": 5.0,
  "space_group": "C2/m, No. 12",
  "lattice_angstrom": [[6.769, -4.203, 0.000], [6.769, 4.203, 0.000], [-0.219, 0.000, 9.003]],
  "species": ["P", "P", "I", "Br", "Br", "Br", "Br", "Br", "Br", "Br", "Br"],
  "frac_coords": [[0.198, 0.198, 0.140], [0.802, 0.802, 0.860], [0.000, 0.000, 0.500], [0.132, 0.688, 0.681], [0.258, 0.258, 0.906], [0.312, 0.868, 0.319], [0.337, 0.337, 0.273], [0.663, 0.663, 0.727], [0.688, 0.132, 0.681], [0.742, 0.742, 0.094], [0.868, 0.312, 0.319]]
}